TlCd4In4 | Alexandria | PBE | optimized geometry; mass density = 8000 kg/m³; offset from the most stable computed form = 0 meV/atom; space-group type = No. 139; E = -1.851 eV/atom; calculated volume = 25.68 A^3/atom; DOS at the Fermi energy = 4.02 states/eV/f.u.
1.0
4.541 0.000 1.538
2.270 6.943 0.769
0.043 0.000 7.345
Tl Cd In
1 4 4
Cartesian
0.000 0.000 0.000 Tl
1.508 4.566 3.019 Cd
5.346 2.377 6.632 Cd
3.778 2.376 3.789 Cd
3.076 4.567 5.863 Cd
2.314 2.375 8.113 In
4.540 4.568 1.539 In
5.346 6.942 6.634 In
1.509 0.001 3.018 In